Entry 1:
Below is a relaxed structure of Na2BiOs2, with properties calculated at the PBE level.

a = 9.011 Å, b = 9.011 Å, c = 2.822 Å
α = 90.00°, β = 90.00°, γ = 90.00°
Element x y z (fractional)
Na1 0.692 0.192 0.000
Na2 0.808 0.692 0.000
Na3 0.192 0.308 0.000
Na4 0.308 0.808 0.000
Os1 0.412 0.088 0.500
Os2 0.912 0.412 0.500
Os3 0.088 0.588 0.500
Os4 0.588 0.912 0.500
Bi1 0.500 0.500 0.000
Bi2 0.000 0.000 0.000

Output
**Distance to the lowest polymorph of the same formula**: 540.3 meV/atom
**Spin magnetization**: 0.000 μB/f.u.
**Space group**: No. 127
**Final energy**: -4.7214 eV per atom
**ΔH_f (0 K)**: 5.372 eV/f.u.

---

Entry 2:
Below is a relaxed structure of NaReBiOs2, with properties calculated at the PBE level.

a = 5.047 Å, b = 5.119 Å, c = 5.047 Å
α = 90.00°, β = 90.00°, γ = 90.00°
Element x y z (fractional)
Bi1 0.000 0.000 0.000
Re1 0.000 0.500 0.000
Os1 0.500 0.000 0.000
Os2 0.000 0.000 0.500
Na1 0.500 0.500 0.500

Output
**Spin magnetization**: 3.174 μB/f.u.
**Space group**: No. 123
**Final energy**: -5.2451 eV per atom
**ΔH_f (0 K)**: 13.882 eV/f.u.

---

Entry 3:
Below is a relaxed structure of NaTa2BiOs, with properties calculated at the PBE level.

a = 4.698 Å, b = 4.814 Å, c = 4.698 Å
α = 90.00°, β = 90.00°, γ = 90.00°
Element x y z (fractional)
Os1 0.500 0.500 0.500
Ta1 0.500 0.000 0.000
Ta2 0.000 0.000 0.500
Bi1 0.000 0.500 0.000
Na1 0.000 0.000 0.000

Output
**Spin magnetization**: 0.000 μB/f.u.
**Space group**: No. 123
**Final energy**: -5.4518 eV per atom
**ΔH_f (0 K)**: 12.876 eV/f.u.